(1)
Crystalline WAu2Se at its relaxed geometry, computed with PBE.

POSCAR file:
```
WAu2Se
1.0
2.765 0.000 0.000
0.000 4.089 0.000
0.000 0.000 6.490
W Au Se
1 2 1
direct
0.000 0.000 0.000 W
0.500 0.500 0.228 Au
0.500 0.500 0.772 Au
0.000 0.000 0.500 Se
```

Properties
Formation energy without anion corrections in meV per atom: 574
Magnetic moment in μB/cell: 0.0
DOS at the Fermi energy in states/eV/f.u.: 2.071

---

(2)
Crystalline WAu2Se at its relaxed geometry, computed with PBE.

POSCAR file:
```
WAu2Se
1.0
4.553 0.000 0.000
0.000 3.038 0.000
-1.774 0.000 5.153
W Au Se
1 2 1
direct
0.000 0.000 0.000 W
0.000 0.500 0.500 Au
0.500 0.000 0.500 Au
0.500 0.500 0.000 Se
```

Properties
Formation energy without anion corrections in meV per atom: 589
Magnetic moment in μB/cell: 0.0
DOS at the Fermi energy in states/eV/f.u.: 2.178

---

(3)
Crystalline WAuSe2 at its relaxed geometry, computed with PBE.

POSCAR file:
```
WAuSe2
1.0
-2.184 2.184 3.685
2.184 -2.184 3.685
2.184 2.184 -3.685
W Au Se
1 1 2
direct
0.000 0.000 0.000 W
0.500 0.500 0.000 Au
0.250 0.750 0.500 Se
0.750 0.250 0.500 Se
```

Properties
Formation energy without anion corrections in meV per atom: 580
Magnetic moment in μB/cell: 0.0
DOS at the Fermi energy in states/eV/f.u.: 2.739
Polymorph energy (0 for the lowest one) in eV/f.u.: 2.462

---

(4)
Crystalline WAu2Se at its relaxed geometry, computed with PBE.

POSCAR file:
```
WAu2Se
1.0
3.017 0.000 0.000
0.000 4.584 0.000
0.000 0.000 5.144
W Au Se
1 2 1
direct
0.000 0.000 0.000 W
0.000 0.500 0.500 Au
0.500 0.000 0.500 Au
0.500 0.500 0.000 Se
```

Properties
Formation energy without anion corrections in meV per atom: 634
Magnetic moment in μB/cell: 0.2
DOS at the Fermi energy in states/eV/f.u.: 2.889

---

(5)
Crystalline WAuSe2 at its relaxed geometry, computed with PBE.

POSCAR file:
```
WAuSe2
1.0
2.980 0.000 0.000
0.000 2.980 0.000
0.000 0.000 9.446
W Au Se
1 1 2
direct
0.000 0.000 0.000 W
0.500 0.500 0.208 Au
0.000 0.000 0.443 Se
0.500 0.500 0.836 Se
```

Properties
Formation energy without anion corrections in meV per atom: 191
Magnetic moment in μB/cell: 0.0
DOS at the Fermi energy in states/eV/f.u.: 1.425
Polymorph energy (0 for the lowest one) in eV/f.u.: 0.907

---

(6)
Crystalline WAuSe2 at its relaxed geometry, computed with PBE.

POSCAR file:
```
WAuSe2
1.0
1.660 -2.379 0.000
1.660 2.379 0.000
0.000 0.000 10.177
W Au Se
1 1 2
direct
0.000 0.000 0.000 W
0.500 0.500 0.774 Au
0.000 0.000 0.537 Se
0.500 0.500 0.190 Se
```

Properties
Formation energy without anion corrections in meV per atom: 385
Magnetic moment in μB/cell: 0.0
DOS at the Fermi energy in states/eV/f.u.: 1.960
Polymorph energy (0 for the lowest one) in eV/f.u.: 1.683